[1]
# CsBaBrO2

A geometry-optimized CsBaBrO2 structure (GGA-PBEsol, Alexandria).

abc: 5.0102 5.0102 5.4553
angles: 90.00 90.00 90.00
Positions (direct):
Br (0.0000, 0.0000, 0.0000)
Cs (0.5000, 0.5000, 0.5000)
O (0.5000, 0.0000, 0.0000)
O (0.0000, 0.5000, 0.0000)
Ba (0.0000, 0.0000, 0.5000)

Results
- Crystal system: tetragonal
- Raw formation energy: -0.37 eV/f.u.
- Symmetry: No. 123

[2]
# MnZn2Ir

A geometry-optimized MnZn2Ir structure (GGA-PBEsol, Alexandria).

abc: 2.9320 4.2919 4.3167
angles: 100.34 90.00 90.00
Each line ends with the local moment (μB).
Positions (direct):
Zn (0.5000, 0.0000, 0.5000)  -0.06
Zn (0.0000, 0.0000, 0.0000)  -0.02
Mn (0.0000, 0.5000, 0.5000)  3.08
Ir (0.5000, 0.5000, 0.0000)  0.12

Results
- Crystal system: monoclinic
- Energy of formation: -0.2 eV per formula unit
- Symmetry: No. 10